P:
{
  "formula": "NdYPd2",
  "functional": "GGA-PBE",
  "state": "optimized geometry",
  "cell": [[5.0584, 0.0000, 0.0000], [2.5292, 4.3807, 0.0000], [2.5292, 1.4602, 4.1302]],
  "species": ["Y", "Nd", "Pd", "Pd"],
  "frac_coords": [[0.0000, 0.0000, 0.0000], [0.5000, 0.5000, 0.5000], [0.2500, 0.2500, 0.2500], [0.7500, 0.7500, 0.7500]]
}

Q:
{
  "formula": "NdYPd2",
  "functional": "GGA-PBE",
  "state": "optimized geometry",
  "cell": [[-3.8611, -1.5003, -0.4783], [-1.7794, -2.1933, 3.0677], [-4.4027, 4.4356, 3.4514]],
  "species": ["Y", "Nd", "Pd", "Pd"],
  "frac_coords": [[0.0000, 0.0000, 0.0000], [0.5000, 0.5000, 0.5000], [0.7466, 0.7466, 0.7602], [0.2534, 0.2534, 0.2398]]
}

Short version: P, Q, most stable first.

P:
{
  "formula": "NdYPd2",
  "functional": "GGA-PBE",
  "state": "optimized geometry",
  "cell": [[-3.4704, 0.1952, 0.2886], [0.0299, -4.0589, 3.1043], [0.5096, 3.0912, 4.0369]],
  "species": ["Y", "Nd", "Pd", "Pd"],
  "frac_coords": [[0.5000, 0.0000, 0.0000], [0.5000, 0.5000, 0.5000], [0.0000, 0.0000, 0.5000], [0.0000, 0.5000, 0.0000]]
}

Q:
{
  "formula": "NdYPd2",
  "functional": "GGA-PBE",
  "state": "optimized geometry",
  "cell": [[-0.6804, -2.8413, 2.4831], [4.4155, -1.2706, -0.2440], [1.5117, 4.7085, 2.8370]],
  "species": ["Nd", "Y", "Pd", "Pd"],
  "frac_coords": [[0.4447, 0.5000, 0.4280], [0.7185, 0.0000, 0.9765], [0.1691, 0.5000, 0.8772], [0.9986, 0.0000, 0.5362]]
}

Short version: Q, P, most stable first.